Entry 1:
4
Lattice="4.7010 -1.6170 0.0000 4.7010 1.6170 0.0000 -0.4204 0.0000 4.4412" Properties=species:S:1:pos:R:3 comment="PBE ZrRh2Cl, relaxed" formation_energy_uncorrected_ev_per_atom=-0.33 m_tot_mub_per_fu=0.00 space_group="No. 12" pbc="T T T"
Zr 0.0000 0.0000 0.0000
Rh 2.2721 0.0000 3.4090
Rh 6.7096 0.0000 1.0322
Cl 4.4908 0.0000 2.2206

=====

Entry 2:
4
Lattice="2.5727 0.0000 0.0000 0.0000 3.5907 0.0000 0.0000 0.0000 5.0654" Properties=species:S:1:pos:R:3 comment="PBE MnCo2Ru, relaxed" total_energy_ev_per_atom=-8.054 m_tot_mub_per_fu=2.20 space_group="No. 47" pbc="T T T"
Mn 0.0000 0.0000 0.0000
Co 1.2864 1.7953 1.2620
Co 1.2864 1.7953 3.8034
Ru 0.0000 0.0000 2.5327

=====

Entry 3:
5
Lattice="5.4032 0.0000 0.0000 0.0000 5.4032 0.0000 0.0000 0.0000 5.4239" Properties=species:S:1:pos:R:3 comment="PBE ZnTe2IBr, relaxed" formation_energy_uncorrected_ev_per_atom=0.32 m_tot_mub_per_fu=0.00 space_group="No. 123" pbc="T T T"
Zn 0.0000 0.0000 0.0000
Te 0.0000 2.7016 0.0000
Te 2.7016 0.0000 0.0000
I 0.0000 0.0000 2.7119
Br 2.7016 2.7016 2.7119

=====

Entry 4:
5
Lattice="4.8846 0.0000 0.0000 0.0000 4.8846 0.0000 0.0000 0.0000 5.7250" Properties=species:S:1:pos:R:3 comment="PBE TiSnWBr2, relaxed" formation_energy_uncorrected_ev_per_atom=1.05 m_tot_mub_per_fu=1.34 space_group="No. 123" pbc="T T T"
Ti 0.0000 0.0000 0.0000
Sn 2.4423 2.4423 0.0000
W 2.4423 2.4423 2.8625
Br 0.0000 2.4423 2.8625
Br 2.4423 0.0000 2.8625

=====

Repeat the second record exactly.
4
Lattice="2.5727 0.0000 0.0000 0.0000 3.5907 0.0000 0.0000 0.0000 5.0654" Properties=species:S:1:pos:R:3 comment="PBE MnCo2Ru, relaxed" total_energy_ev_per_atom=-8.054 m_tot_mub_per_fu=2.20 space_group="No. 47" pbc="T T T"
Mn 0.0000 0.0000 0.0000
Co 1.2864 1.7953 1.2620
Co 1.2864 1.7953 3.8034
Ru 0.0000 0.0000 2.5327

=====

Question: Number 2 is which compound?
Answer: MnCo2Ru